1.
A plane-wave DFT calculation with PBE was carried out for a geometry-optimized TlFeCu2 structure.

Cell lengths 4.6591, 4.6591, 4.6591 Å; angles 128.68, 128.68, 75.53 degrees
Each line ends with the local moment (μB).
Atoms (fractional coordinates):
1 Cu 0.0000 0.0000 0.0000  0.03
2 Cu 0.2500 0.7500 0.5000  0.04
3 Fe 0.5000 0.5000 0.0000  2.62
4 Tl 0.7500 0.2500 0.5000  -0.03

N(E_F) (states/eV/f.u.): 3.77
ΔH_f (0 K) (eV/f.u.): 1.695
Final energy (eV/atom): -4.332

2.
A plane-wave DFT calculation with PBE was carried out for a geometry-optimized TaOsW2 structure.

Cell lengths 5.0663, 5.0663, 5.0663 Å; angles 134.37, 134.37, 66.51 degrees
Atoms (fractional coordinates):
1 Os 0.5000 0.5000 0.0000
2 Ta 0.7500 0.2500 0.5000
3 W 0.0000 0.0000 0.0000
4 W 0.2500 0.7500 0.5000

N(E_F) (states/eV/f.u.): 4.50
ΔH_f (0 K) (eV/f.u.): 0.827
Final energy (eV/atom): -12.040